DFT (PBE-GGA) results for crystalline TaW3 at its relaxed geometry.

Lattice parameters (Å, degrees): 5.5016 9.0475 5.4431 90.00 90.00 90.00
Space group Pnma (No. 62)
Inequivalent atoms, fractional coordinates:
Ta1 0.9996 0.2500 0.2498 x4
W1 0.0004 0.2500 0.7499 x4
W2 0.2500 0.0046 0.5858 x8

Properties
- Spin magnetization: 0.000 Bohr magnetons per cell
- Calculated total energy: -12.467 eV per atom
- Density: 17.96 g/cm³
- Calculated formation energy: 211 meV/atom


DFT (PBE-GGA) results for crystalline TaW5 at its relaxed geometry.

Lattice parameters (Å, degrees): 4.5318 9.6050 4.5261 90.00 90.00 90.00
Space group Cmmm (No. 65)
Inequivalent atoms, fractional coordinates:
Ta1 0.0000 0.0000 0.0000 x2
W1 0.0000 0.1679 0.5000 x4
W2 0.0000 0.3315 0.0000 x4
W3 0.0000 0.5000 0.5000 x2

Properties
- Spin magnetization: 0.000 Bohr magnetons per cell
- Calculated total energy: -12.850 eV per atom
- Density: 18.55 g/cm³
- ΔE to the lowest computed polymorph: 0.0000 eV/atom
- Calculated formation energy: -81 meV/atom


DFT (PBE-GGA) results for crystalline Ta4W at its relaxed geometry.

Lattice parameters (Å, degrees): 4.8098 4.8098 4.8098 90.00 90.00 90.00
Space group Pm-3m (No. 221)
Inequivalent atoms, fractional coordinates:
Ta1 0.0000 0.0000 0.0000 x1
Ta2 0.0000 0.5000 0.5000 x3
W1 0.5000 0.5000 0.5000 x1

Properties
- Spin magnetization: 0.000 Bohr magnetons per cell
- Calculated total energy: -10.417 eV per atom
- Density: 13.54 g/cm³
- ΔE to the lowest computed polymorph: 1.7080 eV/atom
- Calculated formation energy: 1656 meV/atom


DFT (PBE-GGA) results for crystalline Ta4W3 at its relaxed geometry.

Lattice parameters (Å, degrees): 3.2369 3.2369 22.9938 90.00 90.00 90.00
Space group I4/mmm (No. 139)
Inequivalent atoms, fractional coordinates:
Ta1 0.0000 0.0000 0.0698 x4
Ta2 0.0000 0.0000 0.3549 x4
W1 0.0000 0.0000 0.2163 x4
W2 0.0000 0.0000 0.5000 x2

Properties
- Spin magnetization: 0.000 Bohr magnetons per cell
- Calculated total energy: -12.402 eV per atom
- Density: 17.58 g/cm³
- ΔE to the lowest computed polymorph: 0.0046 eV/atom
- Calculated formation energy: -78 meV/atom


DFT (PBE-GGA) results for crystalline TaW5 at its relaxed geometry.

Lattice parameters (Å, degrees): 5.2101 5.2101 4.6042 90.00 90.00 120.00
Space group P6/mmm (No. 191)
Inequivalent atoms, fractional coordinates:
Ta1 0.0000 0.0000 0.0000 x1
W1 0.0000 0.5000 0.5000 x3
W2 0.3333 0.6667 0.0000 x2

Properties
- Spin magnetization: 0.000 Bohr magnetons per cell
- Calculated total energy: -12.248 eV per atom
- Density: 16.88 g/cm³
- ΔE to the lowest computed polymorph: 0.6025 eV/atom
- Calculated formation energy: 522 meV/atom


DFT (PBE-GGA) results for crystalline TaW3 at its relaxed geometry.

Lattice parameters (Å, degrees): 6.4189 6.4189 6.4189 90.00 90.00 90.00
Space group Fm-3m (No. 225)
Inequivalent atoms, fractional coordinates:
Ta1 0.0000 0.0000 0.0000 x4
W1 0.0000 0.0000 0.5000 x4
W2 0.2500 0.2500 0.2500 x8

Properties
- Spin magnetization: 0.000 Bohr magnetons per cell
- Calculated total energy: -12.762 eV per atom
- Density: 18.40 g/cm³
- Calculated formation energy: -84 meV/atom


DFT (PBE-GGA) results for crystalline TaW3 at its relaxed geometry.

Lattice parameters (Å, degrees): 4.0830 4.0830 4.0830 90.00 90.00 90.00
Space group Pm-3m (No. 221)
Inequivalent atoms, fractional coordinates:
Ta1 0.0000 0.0000 0.0000 x1
W1 0.0000 0.5000 0.5000 x3

Properties
- Spin magnetization: 0.000 Bohr magnetons per cell
- Calculated total energy: -12.242 eV per atom
- Density: 17.87 g/cm³
- Calculated formation energy: 436 meV/atom


DFT (PBE-GGA) results for crystalline Ta7W at its relaxed geometry.

Lattice parameters (Å, degrees): 9.3203 9.3203 11.4417 90.00 90.00 120.00
Space group R-3m (No. 166, hexagonal axes)
Inequivalent atoms, fractional coordinates:
Ta1 0.0000 0.0000 0.1270 x6
Ta2 0.0035 0.5017 0.1241 x18
Ta3 0.0037 0.5019 0.3743 x18
W1 0.0000 0.0000 0.3766 x6

Properties
- Spin magnetization: 0.000 Bohr magnetons per cell
- Calculated total energy: -12.012 eV per atom
- Density: 16.79 g/cm³
- ΔE to the lowest computed polymorph: 0.0000 eV/atom
- Calculated formation energy: -21 meV/atom


DFT (PBE-GGA) results for crystalline Ta3W2 at its relaxed geometry.

Lattice parameters (Å, degrees): 4.5002 4.5002 5.5093 90.00 90.00 120.00
Space group P-3m1 (No. 164)
Inequivalent atoms, fractional coordinates:
Ta1 0.0000 0.0000 0.0000 x1
Ta2 0.3333 0.6667 0.3492 x2
W1 0.3333 0.6667 0.8382 x2

Properties
- Spin magnetization: 0.000 Bohr magnetons per cell
- Calculated total energy: -11.856 eV per atom
- Density: 15.65 g/cm³
- ΔE to the lowest computed polymorph: 0.5252 eV/atom
- Calculated formation energy: 437 meV/atom


DFT (PBE-GGA) results for crystalline TaW3 at its relaxed geometry.

Lattice parameters (Å, degrees): 4.8509 5.2773 5.3072 90.00 90.00 90.00
Space group Pmmn (No. 59, origin choice 2)
Inequivalent atoms, fractional coordinates:
Ta1 0.2500 0.2500 0.1419 x2
W1 0.2500 0.5039 0.6460 x4
W2 0.2500 0.7500 0.1556 x2

Properties
- Spin magnetization: 0.000 Bohr magnetons per cell
- Calculated total energy: -12.325 eV per atom
- Density: 17.90 g/cm³
- Calculated formation energy: 353 meV/atom


DFT (PBE-GGA) results for crystalline Ta3W2 at its relaxed geometry.

Lattice parameters (Å, degrees): 3.0747 3.0747 32.5814 90.00 90.00 120.00
Space group R-3m (No. 166, hexagonal axes)
Inequivalent atoms, fractional coordinates:
Ta1 0.0000 0.0000 0.0000 x3
Ta2 0.0000 0.0000 0.2016 x6
W1 0.0000 0.0000 0.3990 x6

Properties
- Spin magnetization: 0.000 Bohr magnetons per cell
- Calculated total energy: -11.988 eV per atom
- Density: 17.00 g/cm³
- ΔE to the lowest computed polymorph: 0.3933 eV/atom
- Calculated formation energy: 305 meV/atom


DFT (PBE-GGA) results for crystalline Ta5W2 at its relaxed geometry.

Lattice parameters (Å, degrees): 14.8574 5.2489 6.4397 90.00 90.57 90.00
Space group C2/c (No. 15)
Inequivalent atoms, fractional coordinates:
Ta1 0.0000 0.1278 0.2500 x4
Ta2 0.1418 0.1248 0.5377 x8
Ta3 0.2107 0.3774 0.1762 x8
W1 0.0681 0.3737 0.8909 x8

Properties
- Spin magnetization: 0.000 Bohr magnetons per cell
- Calculated total energy: -12.005 eV per atom
- Density: 16.83 g/cm³
- ΔE to the lowest computed polymorph: 0.2294 eV/atom
- Calculated formation energy: 162 meV/atom